No. 1
Density functional theory data (PBE) for an optimized crystal structure of La2YAu.

Its density of states at the Fermi level is 10.86 states/eV per cell. For the spin magnetization, the calculation gives 0.00 μB/atom. Its final energy is -5.14 eV per atom. The formation energy is -0.95 eV per formula unit.

The space group is I4/mmm (No. 139) and the conventional cell measures 4.6892, 4.6892 and 10.3511 Å, with angles of 90.00, 90.00 and 90.00 degrees. The asymmetric unit holds La at (0.0000, 0.5000, 0.2500), Y at (0.0000, 0.0000, 0.0000) and Au at (0.0000, 0.0000, 0.5000).

No. 2
Density functional theory data (PBE) for an optimized crystal structure of La2YAu2.

Its density of states at the Fermi level is 14.30 states/eV per cell. For the spin magnetization, the calculation gives 0.00 μB/atom. Its final energy is -4.80 eV per atom. The formation energy is -1.11 eV per formula unit.

The space group is I4/mmm (No. 139) and the conventional cell measures 5.4925, 5.4925 and 10.5823 Å, with angles of 90.00, 90.00 and 90.00 degrees. The asymmetric unit holds La at (0.0000, 0.0000, 0.1479), Y at (0.0000, 0.0000, 0.5000) and Au at (0.0000, 0.5000, 0.2500).